First-principles (PBE-GGA) data for a relaxed structure of TiAs2Cl, as listed in Alexandria.

Summary:
SG = Fm-3m
Spin magnetization = 0.92 μB/cell
Excess energy over the best structure of this formula in the dataset = 417 meV per atom
Energy = -4.50 eV per atom

POSCAR file:
```
TiAs2Cl
1.0
0.000 3.338 3.338
3.338 0.000 3.338
3.338 3.338 0.000
Ti As Cl
1 2 1
Direct
0.000 0.000 0.000
0.250 0.250 0.250
0.750 0.750 0.750
0.500 0.500 0.500
```



First-principles (PBE-GGA) data for a relaxed structure of Ti2AsCl, as listed in Alexandria.

Summary:
SG = I-42d
Spin magnetization = 4.71 μB/cell
Excess energy over the best structure of this formula in the dataset = 314 meV per atom
Energy = -5.86 eV per atom

POSCAR file:
```
Ti2AsCl
1.0
-2.773 2.773 5.885
2.773 -2.773 5.885
2.773 2.773 -5.885
Ti As Cl
4 2 2
Direct
0.113 0.625 0.988
0.375 0.363 0.488
0.637 0.125 0.012
0.875 0.887 0.512
0.250 0.750 0.500
0.500 0.500 0.000
0.000 0.000 0.000
0.750 0.250 0.500
```



First-principles (PBE-GGA) data for a relaxed structure of Ti2AsCl, as listed in Alexandria.

Summary:
SG = Fm-3m
Spin magnetization = 0.00 μB/cell
Excess energy over the best structure of this formula in the dataset = 0 meV per atom
Energy = -6.18 eV per atom

POSCAR file:
```
Ti2AsCl
1.0
0.000 3.170 3.170
3.170 0.000 3.170
3.170 3.170 0.000
Ti As Cl
2 1 1
Direct
0.250 0.250 0.250
0.750 0.750 0.750
0.000 0.000 0.000
0.500 0.500 0.500
```



First-principles (PBE-GGA) data for a relaxed structure of TiAs3Cl, as listed in Alexandria.

Summary:
SG = Pm-3m
Spin magnetization = 0.00 μB/cell
Excess energy over the best structure of this formula in the dataset = 902 meV per atom
Energy = -3.81 eV per atom

POSCAR file:
```
TiAs3Cl
1.0
4.766 0.000 0.000
0.000 4.766 0.000
0.000 0.000 4.766
Ti As Cl
1 3 1
Direct
0.000 0.000 0.000
0.000 0.500 0.500
0.500 0.000 0.500
0.500 0.500 0.000
0.500 0.500 0.500
```



First-principles (PBE-GGA) data for a relaxed structure of TiAsCl3, as listed in Alexandria.

Summary:
SG = Pm-3m
Spin magnetization = 0.24 μB/cell
Excess energy over the best structure of this formula in the dataset = 884 meV per atom
Energy = -3.25 eV per atom

POSCAR file:
```
TiAsCl3
1.0
5.117 0.000 0.000
0.000 5.117 0.000
0.000 0.000 5.117
Ti As Cl
1 1 3
Direct
0.000 0.000 0.000
0.500 0.500 0.500
0.000 0.500 0.500
0.500 0.000 0.500
0.500 0.500 0.000
```



First-principles (PBE-GGA) data for a relaxed structure of Ti2ZnAsCl, as listed in Alexandria.

Summary:
SG = P4/mmm
Spin magnetization = 3.40 μB/cell
Energy = -4.14 eV per atom

POSCAR file:
```
Ti2ZnAsCl
1.0
5.044 0.000 0.000
0.000 5.044 0.000
0.000 0.000 4.471
Ti Zn As Cl
2 1 1 1
Direct
0.000 0.500 0.000
0.500 0.000 0.000
0.000 0.000 0.000
0.000 0.000 0.500
0.500 0.500 0.500
```



First-principles (PBE-GGA) data for a relaxed structure of TiZn2AsCl, as listed in Alexandria.

Summary:
SG = P4/mmm
Spin magnetization = 0.75 μB/cell
Energy = -2.93 eV per atom

POSCAR file:
```
TiZn2AsCl
1.0
5.209 0.000 0.000
0.000 5.209 0.000
0.000 0.000 4.444
Ti Zn As Cl
1 2 1 1
Direct
0.000 0.000 0.000
0.000 0.500 0.000
0.500 0.000 0.000
0.500 0.500 0.500
0.000 0.000 0.500
```



First-principles (PBE-GGA) data for a relaxed structure of TlAsCl2, as listed in Alexandria.

Summary:
SG = Cm
Spin magnetization = 0.00 μB/cell
Excess energy over the best structure of this formula in the dataset = 111 meV per atom
Energy = -2.96 eV per atom

POSCAR file:
```
TlAsCl2
1.0
5.383 -1.762 0.000
5.383 1.762 0.000
-0.898 0.000 6.129
Tl As Cl
1 1 2
Direct
0.000 0.000 0.000
0.350 0.350 0.658
0.505 0.505 0.457
0.716 0.716 0.057
```



Formation energy without anion corrections (computed, kJ/mol of atoms): 25.0 -28.2 -58.4 89.8 35.5 54.7 44.0 -27.2